# 1
This record from Alexandria via LeMat-Bulk describes a relaxed structure of InOsSeBr2. The functional is PBE.

## Properties
**SG**: P4/mmm, No. 123
**ΔE_f (raw)**: 3.8 kcal/mol of atoms
**Density of states at the Fermi level**: 0.565 states/eV/atom
**Crystal system**: tetragonal
**Size of the total moment**: 0.0000 μB/atom

Unit cell a=5.332 b=5.332 c=4.631 alpha=90.00 beta=90.00 gamma=90.00
Positions (direct):
1 Os 0.000 0.000 0.000
2 Br 0.000 0.500 0.000
3 Br 0.500 0.000 0.000
4 In 0.500 0.500 0.500
5 Se 0.000 0.000 0.500



# 2
This record from Alexandria via LeMat-Bulk describes a relaxed structure of BeMoPd. The functional is PBE.

## Properties
**SG**: P6_3/mmc, No. 194
**Energy relative to the elements**: 1.876 eV per atom
**Density of states at the Fermi level**: 1.552 states/eV/atom
**Crystal system**: hexagonal
**Size of the total moment**: 0.0000 μB/atom

Unit cell a=3.788 b=3.788 c=9.858 alpha=90.00 beta=90.00 gamma=120.00
Positions (direct):
1 Pd 0.000 0.000 0.000
2 Pd 0.000 0.000 0.500
3 Be 0.333 0.667 0.250
4 Be 0.667 0.333 0.750
5 Mo 0.000 0.000 0.750
6 Mo 0.000 0.000 0.250



# 3
This record from Alexandria via LeMat-Bulk describes a relaxed structure of CaAsRu2. The functional is PBE.

## Properties
**SG**: R-3m, No. 166
**Energy relative to the elements**: -0.091 eV per atom
**Density of states at the Fermi level**: 0.697 states/eV/atom
**Crystal system**: trigonal
**Size of the total moment**: 0.4196 μB/atom

Unit cell a=5.752 b=5.752 c=5.752 alpha=44.35 beta=44.35 gamma=44.35
Site moments in Bohr magnetons follow the coordinates.
Positions (direct):
1 Ru 0.939 0.939 0.939  0.79
2 Ru 0.561 0.561 0.561  0.79
3 As 0.250 0.250 0.250  0.02
4 Ca 0.750 0.750 0.750  -0.01



# 4
This record from Alexandria via LeMat-Bulk describes a relaxed structure of Ba2CoRh. The functional is PBE.

## Properties
**SG**: Imm2, No. 44
**Energy relative to the elements**: 0.105 eV per atom
**Density of states at the Fermi level**: 1.150 states/eV/atom
**Crystal system**: orthorhombic
**Size of the total moment**: 0.2771 μB/atom

Unit cell a=8.134 b=8.134 c=8.134 alpha=149.54 beta=147.81 gamma=44.90
Site moments in Bohr magnetons follow the coordinates.
Positions (direct):
1 Ba 0.006 0.006 0.000  -0.06
2 Ba 0.245 0.745 0.500  -0.05
3 Co 0.595 0.595 0.000  1.18
4 Rh 0.654 0.154 0.500  0.28



# 5
This record from Alexandria via LeMat-Bulk describes a relaxed structure of Cr2CoPb. The functional is PBE.

## Properties
**SG**: Pmmm, No. 47
**Energy relative to the elements**: 0.571 eV per atom
**Density of states at the Fermi level**: 1.142 states/eV/atom
**Crystal system**: orthorhombic
**Size of the total moment**: 0.4984 μB/atom

Unit cell a=3.709 b=2.955 c=6.275 alpha=61.91 beta=90.00 gamma=90.00
Site moments in Bohr magnetons follow the coordinates.
Positions (direct):
1 Cr 0.000 0.070 0.929  0.40
2 Cr 0.000 0.430 0.571  0.40
3 Co 0.500 0.750 0.750  1.16
4 Pb 0.500 0.250 0.250  -0.01



# 6
This record from Alexandria via LeMat-Bulk describes a relaxed structure of RbSrP2Pd4. The functional is PBE.

## Properties
**SG**: P4/mmm, No. 123
**Energy relative to the elements**: -0.541 eV per atom
**Density of states at the Fermi level**: 0.566 states/eV/atom
**Crystal system**: tetragonal
**Size of the total moment**: 0.0000 μB/atom

Unit cell a=4.170 b=4.170 c=11.212 alpha=90.00 beta=90.00 gamma=90.00
Positions (direct):
1 P 0.500 0.500 0.697
2 P 0.500 0.500 0.303
3 Pd 0.500 0.000 0.214
4 Pd 0.000 0.500 0.214
5 Pd 0.500 0.000 0.786
6 Pd 0.000 0.500 0.786
7 Sr 0.000 0.000 0.000
8 Rb 0.000 0.000 0.500



# 7
This record from Alexandria via LeMat-Bulk describes a relaxed structure of ZrTcRh2. The functional is PBE.

## Properties
**SG**: Fm-3m, No. 225
**Energy relative to the elements**: -0.148 eV per atom
**Density of states at the Fermi level**: 1.292 states/eV/atom
**Crystal system**: cubic
**Size of the total moment**: 0.7697 μB/atom

Unit cell a=4.540 b=4.540 c=4.540 alpha=60.00 beta=60.00 gamma=60.00
Site moments in Bohr magnetons follow the coordinates.
Positions (direct):
1 Rh 0.250 0.250 0.250  0.52
2 Rh 0.750 0.750 0.750  0.52
3 Tc 0.500 0.500 0.500  1.87
4 Zr 0.000 0.000 0.000  0.00



# 8
This record from Alexandria via LeMat-Bulk describes a relaxed structure of Sr2CaEu. The functional is PBE.

## Properties
**SG**: P4/mmm, No. 123
**Energy relative to the elements**: 0.032 eV per atom
**Density of states at the Fermi level**: 1.052 states/eV/atom
**Crystal system**: tetragonal
**Size of the total moment**: 1.8141 μB/atom

Unit cell a=4.626 b=4.626 c=8.991 alpha=90.00 beta=90.00 gamma=90.00
Site moments in Bohr magnetons follow the coordinates.
Positions (direct):
1 Ca 0.500 0.500 0.500  0.03
2 Eu 0.500 0.500 0.000  -6.97
3 Sr 0.000 0.000 0.254  -0.01
4 Sr 0.000 0.000 0.746  -0.01